1.
## InBi3Au4 (PBE-GGA)

Data for a relaxed InBi3Au4 crystal.

SG: C2/m
Polymorph energy (0 for the lowest one), meV per atom: 0

Structure (extended XYZ):
```
8
Lattice="3.4215 0.0000 -0.9710 -0.5122 6.5531 -1.8048 0.7367 -1.0677 9.1091" Properties=species:S:1:pos:R:3 pbc="T T T"
Au 1.5311 3.0381 5.3947
Au 2.1149 2.4473 0.9385
Au 1.9026 5.2273 0.1903
Au 1.7434 0.2581 6.1429
Bi -0.2561 3.2766 -0.9024
Bi 0.9176 0.9389 3.2332
Bi 2.7284 4.5465 3.1001
In 1.7108 0.0000 -0.4855
```

***

2.
## InBiAu (PBE-GGA)

Data for a relaxed InBiAu crystal.

SG: C2/m

Structure (extended XYZ):
```
6
Lattice="-0.3440 -2.5511 3.8199 4.2307 1.2466 -1.5638 -2.7434 7.2194 4.5744" Properties=species:S:1:pos:R:3 pbc="T T T"
In 1.1483 1.4633 3.8580
In -0.0049 4.4516 2.9726
Bi 2.7612 0.9090 0.8557
Bi -1.6179 5.0058 5.9748
Au 1.1720 3.8685 5.4664
Au -0.0286 2.0463 1.3641
```

***

3.
## In2BiAu2 (PBE-GGA)

Data for a relaxed In2BiAu2 crystal.

SG: I4/mmm
Polymorph energy (0 for the lowest one), meV per atom: 115

Structure (extended XYZ):
```
5
Lattice="-1.8904 3.4137 -0.2951 -2.7533 -1.7141 -2.1898 -6.6209 -0.9423 5.5657" Properties=species:S:1:pos:R:3 pbc="T T T"
Au -5.4166 1.6606 2.0140
Au -5.8481 -0.9033 1.0667
Bi 0.0000 0.0000 0.0000
In -3.2833 0.4490 0.2801
In -7.9814 0.3083 2.8007
```

***

no.,energy of formation from the pure elements (eV/atom),V (Å³ per cell)
1,-0.01,202
2,-0.12,162
3,-0.01,126